Below is a relaxed structure of AlNi3Ag, with properties calculated at the PBE level.

Cell and atoms, written as POSCAR:
```
AlNi3Ag
1.0
-4.062 -1.317 -1.643
-1.503 -0.686 4.266
-1.474 4.328 0.177
Ni Al Ag
3 1 1
direct
0.000 0.000 0.500
0.500 0.000 0.000
0.000 0.500 0.000
0.500 0.500 0.500
0.000 0.000 0.000
```

Summary:
Electronic total energy in eV/f.u.: -17.4
Crystal system: cubic
ΔH_f (0 K) in eV per atom: 1.31
Distance to the lowest polymorph of the same formula in meV/atom: 640.5